First-principles (PBE) data for an optimized crystal structure of CsMgTl2, as listed in the Alexandria database.

Cell and atoms, written as CIF:
```
data_CsMgTl2
_cell_length_a 5.0720
_cell_length_b 5.0720
_cell_length_c 21.8260
_cell_angle_alpha 90.00
_cell_angle_beta 90.00
_cell_angle_gamma 120.00
_space_group_name_H-M_alt 'R -3 m'
_space_group_IT_number 166
_space_group_name_Hall '-R 3 2"'
loop_
_atom_site_label
_atom_site_type_symbol
_atom_site_fract_x
_atom_site_fract_y
_atom_site_fract_z
Cs1 Cs 0.0000 0.0000 0.0000
Mg1 Mg 0.0000 0.0000 0.5000
Tl1 Tl 0.0000 0.0000 0.2057
```

Output
As for the density of states at the Fermi level: 0.4669 states/eV per atom. The value obtained for the calculated total energy is -1.846 eV per atom. As for the formation energy: -4.86 kJ/mol of atoms. As for the calculated density: 5.80 g cm⁻³. The calculation puts the energy above the lowest structure with this stoichiometry at 21.0 meV/atom. For the volume, the calculation gives 486.3 Å³ per cell.

***

First-principles (PBE) data for an optimized crystal structure of CsMgTl, as listed in the Alexandria database.

Cell and atoms, written as CIF:
```
data_CsMgTl
_cell_length_a 5.8556
_cell_length_b 5.8556
_cell_length_c 3.9276
_cell_angle_alpha 90.00
_cell_angle_beta 90.00
_cell_angle_gamma 120.00
_space_group_name_H-M_alt 'P 3 m 1'
_space_group_IT_number 156
loop_
_space_group_symop_operation_xyz
'x,y,z'
'-y,x-y,z'
'-x+y,-x,z'
'-y,-x,z'
'-x+y,y,z'
'x,x-y,z'
loop_
_atom_site_label
_atom_site_type_symbol
_atom_site_fract_x
_atom_site_fract_y
_atom_site_fract_z
Cs1 Cs 0.0000 0.0000 0.0000
Mg1 Mg 0.3333 0.6667 0.4980
Tl1 Tl 0.6667 0.3333 0.4994
```

Output
As for the density of states at the Fermi level: 0.7975 states/eV per atom. The value obtained for the calculated total energy is -1.474 eV per atom. As for the formation energy: 12.65 kJ/mol of atoms. As for the calculated density: 5.15 g cm⁻³. The calculation puts the energy above the lowest structure with this stoichiometry at 186.7 meV/atom. For the volume, the calculation gives 116.6 Å³ per cell.

***

First-principles (PBE) data for an optimized crystal structure of Cs2Mg2Tl, as listed in the Alexandria database.

Cell and atoms, written as CIF:
```
data_Cs2Mg2Tl
_cell_length_a 7.9694
_cell_length_b 7.9694
_cell_length_c 6.7951
_cell_angle_alpha 90.00
_cell_angle_beta 90.00
_cell_angle_gamma 90.00
_space_group_name_H-M_alt 'P 4/m b m'
_space_group_IT_number 127
_space_group_name_Hall '-P 4 2ab'
loop_
_atom_site_label
_atom_site_type_symbol
_atom_site_fract_x
_atom_site_fract_y
_atom_site_fract_z
Cs1 Cs 0.1802 0.3198 0.0000
Mg1 Mg 0.1477 0.6477 0.5000
Tl1 Tl 0.0000 0.0000 0.5000
```

Output
As for the density of states at the Fermi level: 0.6645 states/eV per atom. The value obtained for the calculated total energy is -1.296 eV per atom. As for the formation energy: 15.12 kJ/mol of atoms. As for the calculated density: 3.99 g cm⁻³. For the volume, the calculation gives 431.6 Å³ per cell.

***

First-principles (PBE) data for an optimized crystal structure of Cs4MgTl5, as listed in the Alexandria database.

Cell and atoms, written as CIF:
```
data_Cs4MgTl5
_cell_length_a 11.7784
_cell_length_b 11.7784
_cell_length_c 7.4746
_cell_angle_alpha 90.00
_cell_angle_beta 90.00
_cell_angle_gamma 90.00
_space_group_name_H-M_alt 'I 4'
_space_group_IT_number 79
loop_
_space_group_symop_operation_xyz
'x,y,z'
'-y,x,z'
'-x,-y,z'
'y,-x,z'
'x+1/2,y+1/2,z+1/2'
'-y+1/2,x+1/2,z+1/2'
'-x+1/2,-y+1/2,z+1/2'
'y+1/2,-x+1/2,z+1/2'
loop_
_atom_site_label
_atom_site_type_symbol
_atom_site_fract_x
_atom_site_fract_y
_atom_site_fract_z
Cs1 Cs 0.0941 0.3034 0.0000
Mg1 Mg 0.0000 0.0000 0.2100
Tl1 Tl 0.0000 0.0000 0.8169
Tl2 Tl 0.0607 0.1790 0.5031
```

Output
As for the density of states at the Fermi level: 1.0047 states/eV per atom. The value obtained for the calculated total energy is -1.737 eV per atom. As for the formation energy: -5.14 kJ/mol of atoms. As for the calculated density: 5.05 g cm⁻³. For the volume, the calculation gives 1036.9 Å³ per cell.